1.
Entry from OQMD: a relaxed structure of GdAgNO (GGA-PBE).

Structure (POSCAR):
```
GdAgNO
1.0
-1.633 -1.958 -4.273
5.788 1.684 -2.982
2.773 -6.299 1.826
Ag O Gd N
4 4 4 4
direct
0.461 0.688 0.132
0.461 0.312 0.632
0.961 0.688 0.368
0.961 0.312 0.868
0.897 0.559 0.102
0.397 0.559 0.398
0.397 0.441 0.898
0.897 0.441 0.602
0.466 0.174 0.082
0.966 0.174 0.418
0.966 0.826 0.918
0.466 0.826 0.582
0.473 0.114 0.403
0.973 0.114 0.097
0.473 0.886 0.903
0.973 0.886 0.597
```

Results
DFT total energy, Ry per atom: -0.441

---

2.
Entry from OQMD: a relaxed structure of ZrCoH3 (GGA-PBE).

Structure (POSCAR):
```
ZrCoH3
1.0
0.196 0.430 -3.501
-3.853 -1.822 -0.439
-2.140 4.843 -1.308
H Zr Co
6 2 2
direct
0.312 0.008 0.375
0.312 0.492 0.375
0.075 0.250 0.850
0.925 0.750 0.150
0.688 0.992 0.625
0.688 0.508 0.625
0.866 0.250 0.268
0.134 0.750 0.732
0.574 0.250 0.853
0.426 0.750 0.147
```

Results
DFT total energy, Ry per atom: -0.408

---

3.
Entry from OQMD: a relaxed structure of ThBiSb (GGA-PBE).

Structure (POSCAR):
```
ThBiSb
1.0
4.509 0.000 0.000
0.000 4.509 0.000
0.000 0.000 9.190
Sb Th Bi
2 2 2
direct
0.000 0.500 0.358
0.500 0.000 0.642
0.500 0.000 0.290
0.000 0.500 0.710
0.000 0.000 0.000
0.500 0.500 0.000
```

Results
DFT total energy, Ry per atom: -0.432